No. 1
The following is a DFT calculation (PBE) of Na2UBr8 after structural relaxation.

total moment: 0.1 μB per formula unit
formation energy without anion corrections: -1.061 eV/atom
DOS(E_F): 7.346 states/eV/f.u.

Unit cell a=5.0887 b=6.8038 c=11.3188 alpha=82.47 beta=102.99 gamma=90.00
Last column: nearest neighbours and their distance in Å.
Positions (direct):
Br 0.6150 0.7898 0.2301  1 U 2.74
Br 0.0235 0.7693 0.0470  2 U 3.00, 5 Br 3.17-3.33
Br 0.9765 0.2307 0.9530  2 U 3.00, 5 Br 3.17-3.33
Br 0.7875 0.7118 0.5750  3 Na 2.85-3.00
Br 0.2125 0.2882 0.4250  3 Na 2.85-3.00
Br 0.3850 0.2102 0.7699  1 U 2.74
Br 0.4296 0.7137 0.8592  1 U 2.65
Br 0.5704 0.2863 0.1408  1 U 2.65
Na 0.2289 0.7188 0.4577  3 Br 2.85-3.00
Na 0.7711 0.2812 0.5423  3 Br 2.85-3.00
U 0.5000 0.0000 0.0000  4 Br 2.65-2.74



No. 2
The following is a DFT calculation (PBE) of Ti8Cu3Rh2 after structural relaxation.

total moment: 0.0 μB per formula unit
formation enthalpy at 0 K: -0.075 eV per atom
DOS(E_F): 15.210 states/eV/f.u.

Unit cell a=5.1128 b=7.2026 c=6.8804 alpha=121.56 beta=96.81 gamma=90.00
Last column: nearest neighbours and their distance in Å.
Positions (direct):
Ti 0.1149 0.4106 0.8212  2 Ti 2.54-2.78, 2 Cu 2.73, 1 Rh 2.82
Ti 0.3963 0.4341 0.2392  2 Rh 2.50-2.71, 2 Cu 2.54-2.75, 1 Ti 2.67
Ti 0.8851 0.5894 0.1788  2 Ti 2.54-2.78, 2 Cu 2.73, 1 Rh 2.82
Ti 0.6037 0.1949 0.7608  2 Rh 2.50-2.71, 2 Cu 2.54-2.75, 1 Ti 2.67
Ti 0.6037 0.5659 0.7608  2 Rh 2.50-2.71, 2 Cu 2.54-2.75, 1 Ti 2.67
Ti 0.8332 0.1896 0.3792  2 Rh 2.52-2.60, 3 Cu 2.61-2.76, 1 Ti 2.78
Ti 0.1668 0.8104 0.6208  2 Rh 2.52-2.60, 3 Cu 2.61-2.76, 1 Ti 2.78
Ti 0.3963 0.8051 0.2392  2 Rh 2.50-2.71, 2 Cu 2.54-2.75, 1 Ti 2.67
Cu 0.0000 0.8357 0.0000  1 Cu 2.37, 2 Ti 2.54
Cu 0.5000 0.0000 0.0000  6 Ti 2.61-2.75, 2 Rh 2.63, 4 Cu 2.82
Cu 0.0000 0.1643 0.0000  1 Cu 2.37, 2 Ti 2.54
Rh 0.3290 0.2012 0.4024  6 Ti 2.50-2.71, 1 Cu 2.63
Rh 0.6710 0.7988 0.5976  6 Ti 2.50-2.71, 1 Cu 2.63



No. 3
The following is a DFT calculation (PBE) of Pr2Zn5Hg after structural relaxation.

total moment: 0.0 μB per formula unit
formation enthalpy at 0 K: -0.212 eV per atom
DOS(E_F): 5.179 states/eV/f.u.

Unit cell a=6.1507 b=6.1507 c=6.1507 alpha=100.29 beta=114.25 gamma=114.25
Last column: nearest neighbours and their distance in Å.
Positions (direct):
Zn 0.0000 0.3203 0.7136  3 Zn 2.63-2.87
Zn 0.6067 0.3203 0.3203  3 Zn 2.63-2.87
Zn 0.3933 0.7136 0.7136  3 Zn 2.63-2.87
Zn 0.0000 0.2401 0.2401  1 Hg 2.84, 4 Zn 2.87
Zn 0.0000 0.7136 0.3203  3 Zn 2.63-2.87
Pr 0.5000 0.7669 0.2669  10 Zn 3.12-3.35, 2 Hg 3.46
Pr 0.5000 0.2669 0.7669  10 Zn 3.12-3.35, 2 Hg 3.46
Hg 0.0000 0.8803 0.8803  5 Zn 2.84-3.06



No. 4
The following is a DFT calculation (PBE) of Be2NiAs after structural relaxation.

total moment: 0.0 μB per formula unit
formation enthalpy at 0 K: 0.012 eV per atom
DOS(E_F): 1.091 states/eV/f.u.

Unit cell a=4.4171 b=4.4171 c=4.4171 alpha=134.12 beta=134.12 gamma=66.90
Last column: nearest neighbours and their distance in Å.
Positions (direct):
Be 0.2500 0.7500 0.5000  4 As 2.43, 4 Ni 2.52, 4 Be 2.52
Be 0.0000 0.0000 0.0000  4 Ni 2.43, 4 Be 2.52, 4 As 2.52
Ni 0.5000 0.5000 0.0000  8 Be 2.43-2.52, 4 As 2.52
As 0.7500 0.2500 0.5000  8 Be 2.43-2.52, 4 Ni 2.52



No. 5
The following is a DFT calculation (PBE) of K2HgRhF6 after structural relaxation.

total moment: 0.0 μB per formula unit
formation energy without anion corrections: -1.924 eV/atom
DOS(E_F): 1.745 states/eV/f.u.

Unit cell a=6.3162 b=6.3162 c=6.3162 alpha=60.00 beta=60.00 gamma=60.00
Last column: nearest neighbours and their distance in Å.
Positions (direct):
F 0.7710 0.7710 0.2290  1 Rh 2.05
F 0.7710 0.2290 0.7710  1 Rh 2.05
F 0.2290 0.7710 0.2290  1 Rh 2.05
F 0.7710 0.2290 0.2290  1 Rh 2.05
F 0.2290 0.2290 0.7710  1 Rh 2.05
F 0.2290 0.7710 0.7710  1 Rh 2.05
Rh 0.0000 0.0000 0.0000  6 F 2.05
Hg 0.5000 0.5000 0.5000  6 F 2.42
K 0.2500 0.2500 0.2500  12 F 3.16
K 0.7500 0.7500 0.7500  12 F 3.16



No. 6
The following is a DFT calculation (PBE) of Sc2BSbAu after structural relaxation.

total moment: 0.0 μB per formula unit
formation energy without anion corrections: 0.690 eV/atom
DOS(E_F): 5.891 states/eV/f.u.

Unit cell a=5.3899 b=4.2365 c=5.3899 alpha=90.00 beta=90.00 gamma=90.00
Last column: nearest neighbours and their distance in Å.
Positions (direct):
Au 0.5000 0.5000 0.5000  8 Sc 3.43, 4 B 3.81
Sb 0.0000 0.0000 0.0000  2 B 2.12
Sc 0.5000 0.0000 0.0000  2 Sb 2.69
Sc 0.0000 0.0000 0.5000  2 Sb 2.69
B 0.0000 0.5000 0.0000  2 Sb 2.12